Entry from Alexandria: a relaxed CeGdCo crystal (PBE).

As for the energy relative to the lowest polymorph listed for this composition: 0.125 eV per atom. For the formation energy, the calculation gives 0.07 eV per atom.

The structure belongs to space group P3m1 (No. 156); the cell edges are 4.3674, 4.3674 and 4.0851 Å and the angles 90.00°, 90.00° and 120.00°. Symmetry generates all atoms from Ce at (0.0000, 0.0000, 0.0000), Gd at (0.3333, 0.6667, 0.5597) and Co at (0.6667, 0.3333, 0.2338).